Entry 1:
Density functional theory data (PBE-GGA) for a relaxed La5Nd2DyMg crystal.

a = 10.5228 Å, b = 10.5228 Å, c = 11.0869 Å
α = 90.00°, β = 90.00°, γ = 148.81°
Fractional positions:
1 La 0.0001 0.9999 0.0000
2 La 0.9999 0.0001 0.5000
3 La 0.1225 0.8775 0.7508
4 La 0.2126 0.7874 0.4514
5 La 0.2145 0.7855 0.0523
6 La 0.4883 0.5117 0.7508
7 La 0.5117 0.4883 0.2508
8 La 0.7855 0.2145 0.5523
9 La 0.7874 0.2126 0.9514
10 La 0.8775 0.1225 0.2508
11 Nd 0.3832 0.6168 0.4626
12 Nd 0.3845 0.6155 0.0392
13 Nd 0.6155 0.3845 0.5392
14 Nd 0.6168 0.3832 0.9626
15 Dy 0.3067 0.6933 0.7517
16 Dy 0.6933 0.3067 0.2517
17 Mg 0.0955 0.9045 0.2497
18 Mg 0.9045 0.0955 0.7497

Values from the calculation:
total magnetic moment: 0.00 Bohr magnetons per cell
DFT formation energy: 0.076 eV per atom


Entry 2:
Density functional theory data (PBE-GGA) for a relaxed LaDyMgPd crystal.

a = 5.2682 Å, b = 5.2682 Å, c = 5.2682 Å
α = 60.00°, β = 60.00°, γ = 60.00°
Fractional positions:
1 La 0.0000 0.0000 0.0000
2 Dy 0.5000 0.5000 0.5000
3 Mg 0.2500 0.2500 0.2500
4 Pd 0.7500 0.7500 0.7500

Values from the calculation:
total magnetic moment: 0.00 Bohr magnetons per cell
DFT formation energy: -0.351 eV per atom


Entry 3:
Density functional theory data (PBE-GGA) for a relaxed La6Pm2DyMg crystal.

a = 8.7542 Å, b = 8.7542 Å, c = 9.4940 Å
α = 95.13°, β = 95.13°, γ = 104.71°
Fractional positions:
1 La 0.0419 0.4670 0.6742
2 La 0.0649 0.8215 0.9005
3 La 0.1785 0.9351 0.5995
4 La 0.2461 0.5797 0.0825
5 La 0.4203 0.7539 0.4175
6 La 0.4670 0.0419 0.1742
7 La 0.5330 0.9581 0.8258
8 La 0.5797 0.2461 0.5825
9 La 0.7539 0.4203 0.9175
10 La 0.8215 0.0649 0.4005
11 La 0.9351 0.1785 0.0995
12 La 0.9581 0.5330 0.3258
13 Pm 0.2356 0.3013 0.4072
14 Pm 0.3013 0.2356 0.9072
15 Pm 0.6987 0.7644 0.0928
16 Pm 0.7644 0.6987 0.5928
17 Dy 0.4304 0.5696 0.7500
18 Dy 0.5696 0.4304 0.2500
19 Mg 0.0960 0.9040 0.2500
20 Mg 0.9040 0.0960 0.7500

Values from the calculation:
total magnetic moment: 0.00 Bohr magnetons per cell
DFT formation energy: 0.089 eV per atom


What is the formula in the first record?
La5Nd2DyMg